Entry 1:
A plane-wave DFT calculation with PBE-GGA was carried out for an optimized crystal structure of YPuGa2.

Results
Energy above the most stable polymorph in this dataset: 6.3 meV per atom
Formation energy: -0.413 eV/atom
Size of the total moment: 5.4 μB per cell
Volume: 90.4 Å³/cell
Uncorrected energy: -28.50 eV per formula unit

Unit cell a=3.2988 b=3.2988 c=8.3044 alpha=90.00 beta=90.00 gamma=90.00
Space group P4/mmm (No. 123)
Unique sites:
Y1 0.0000 0.0000 0.0000 [1 per cell]
Pu1 0.0000 0.0000 0.5000 [1 per cell]
Ga1 0.5000 0.5000 0.2487 [2 per cell]

---

Entry 2:
A plane-wave DFT calculation with PBE-GGA was carried out for an optimized crystal structure of NaCaHoPb.

Results
Formation energy: -0.186 eV/atom
Size of the total moment: 0.0 μB per cell
Volume: 469.5 Å³/cell
Uncorrected energy: -12.35 eV per formula unit

Unit cell a=7.7721 b=7.7721 c=7.7721 alpha=90.00 beta=90.00 gamma=90.00
Space group F-43m (No. 216)
Unique sites:
Na1 0.0000 0.0000 0.0000 [4 per cell]
Ca1 0.2500 0.2500 0.2500 [4 per cell]
Ho1 0.2500 0.2500 0.7500 [4 per cell]
Pb1 0.0000 0.0000 0.5000 [4 per cell]

---

Entry 3:
A plane-wave DFT calculation with PBE-GGA was carried out for an optimized crystal structure of PrEr3Rh.

Results
Energy above the most stable polymorph in this dataset: 48.0 meV per atom
Formation energy: -0.288 eV/atom
Size of the total moment: 0.0 μB per cell
Volume: 156.4 Å³/cell
Uncorrected energy: -27.26 eV per formula unit

Unit cell a=5.3877 b=5.3877 c=5.3877 alpha=90.00 beta=90.00 gamma=90.00
Space group Pm-3m (No. 221)
Unique sites:
Pr1 0.0000 0.0000 0.0000 [1 per cell]
Er1 0.0000 0.5000 0.5000 [3 per cell]
Rh1 0.5000 0.5000 0.5000 [1 per cell]

---

Entry 4:
A plane-wave DFT calculation with PBE-GGA was carried out for an optimized crystal structure of GaTeRu.

Results
Size of the total moment: 0.0 μB per cell
Volume: 250.5 Å³/cell
Energy relative to the elements, uncorrected: -0.113 eV per atom
Uncorrected energy: -15.78 eV per formula unit

Unit cell a=13.0525 b=3.1906 c=6.2201 alpha=90.00 beta=104.71 gamma=90.00
Space group C2/m (No. 12)
Unique sites:
Ga1 0.0972 0.0000 0.0039 [4 per cell]
Te1 0.1348 0.5000 0.4962 [4 per cell]
Ru1 0.2488 0.5000 0.1935 [4 per cell]

---

Entry 5:
A plane-wave DFT calculation with PBE-GGA was carried out for an optimized crystal structure of ErRuPb.

Results
Formation energy: -0.165 eV/atom
Size of the total moment: 0.0 μB per cell
Volume: 131.6 Å³/cell
Uncorrected energy: -18.04 eV per formula unit

Unit cell a=3.3638 b=3.3638 c=11.6288 alpha=90.00 beta=90.00 gamma=90.00
Space group I4mm (No. 107)
Unique sites:
Er1 0.0000 0.0000 0.0000 [2 per cell]
Ru1 0.0000 0.0000 0.6457 [2 per cell]
Pb1 0.0000 0.0000 0.2866 [2 per cell]

---

Entry 6:
A plane-wave DFT calculation with PBE-GGA was carried out for an optimized crystal structure of AlCr3Cd.

Results
Energy above the most stable polymorph in this dataset: 0.0 meV per atom
Formation energy: 1.198 eV/atom
Size of the total moment: 11.1 μB per cell
Volume: 107.5 Å³/cell
Uncorrected energy: -27.54 eV per formula unit

Unit cell a=4.7554 b=4.7554 c=4.7554 alpha=90.00 beta=90.00 gamma=90.00
Space group Pm-3m (No. 221)
Unique sites:
Al1 0.0000 0.0000 0.0000 [1 per cell]
Cr1 0.0000 0.0000 0.5000 [3 per cell]
Cd1 0.5000 0.5000 0.5000 [1 per cell]

---

Entry 7:
A plane-wave DFT calculation with PBE-GGA was carried out for an optimized crystal structure of CoSbTe2Br.

Results
Energy above the most stable polymorph in this dataset: 0.0 meV per atom
Size of the total moment: 1.6 μB per cell
Volume: 132.2 Å³/cell
Energy relative to the elements, uncorrected: 0.301 eV per atom
Uncorrected energy: -17.68 eV per formula unit

Unit cell a=4.9712 b=4.9712 c=5.3507 alpha=90.00 beta=90.00 gamma=90.00
Space group P4/mmm (No. 123)
Unique sites:
Co1 0.0000 0.0000 0.0000 [1 per cell]
Sb1 0.0000 0.0000 0.5000 [1 per cell]
Te1 0.0000 0.5000 0.0000 [2 per cell]
Br1 0.5000 0.5000 0.5000 [1 per cell]

---

Entry 8:
A plane-wave DFT calculation with PBE-GGA was carried out for an optimized crystal structure of BeP2AuCl.

Results
Energy above the most stable polymorph in this dataset: 668.7 meV per atom
Size of the total moment: 1.3 μB per cell
Volume: 118.6 Å³/cell
Energy relative to the elements, uncorrected: 1.261 eV per atom
Uncorrected energy: -13.36 eV per formula unit

Unit cell a=4.8228 b=4.8228 c=5.0986 alpha=90.00 beta=90.00 gamma=90.00
Space group P4/mmm (No. 123)
Unique sites:
Be1 0.0000 0.0000 0.0000 [1 per cell]
P1 0.0000 0.5000 0.5000 [2 per cell]
Au1 0.5000 0.5000 0.5000 [1 per cell]
Cl1 0.5000 0.5000 0.0000 [1 per cell]